1.
First-principles (PBE) data for crystalline TlSnAuS3 at its relaxed geometry, as listed in OQMD via LeMat-Bulk.

a = 9.284 Å, b = 3.893 Å, c = 9.642 Å
α = 90.00°, β = 111.83°, γ = 90.00°
Atoms (fractional coordinates):
Tl 0.197 0.250 0.178
Tl 0.803 0.750 0.822
Sn 0.160 0.750 0.660
Sn 0.840 0.250 0.340
Au 0.448 0.750 0.110
Au 0.552 0.250 0.890
S 0.052 0.750 0.373
S 0.195 0.750 0.932
S 0.347 0.250 0.660
S 0.653 0.750 0.340
S 0.805 0.250 0.068
S 0.948 0.250 0.627

Summary:
Symmetry = P2_1/m (11)
ρ = 6.33 g/cm3
Raw total energy = -47.59 eV per cell

---

2.
First-principles (PBE) data for crystalline TlSnAuS3 at its relaxed geometry, as listed in OQMD via LeMat-Bulk.

a = 7.905 Å, b = 7.905 Å, c = 10.222 Å
α = 90.00°, β = 90.00°, γ = 151.81°
Atoms (fractional coordinates):
Tl 0.200 0.800 0.750
Tl 0.800 0.200 0.250
Sn 0.500 0.500 0.000
Sn 0.500 0.500 0.500
Au 0.137 0.863 0.250
Au 0.863 0.137 0.750
S 0.117 0.883 0.025
S 0.117 0.883 0.475
S 0.448 0.552 0.250
S 0.552 0.448 0.750
S 0.883 0.117 0.525
S 0.883 0.117 0.975

Summary:
Symmetry = Cmcm (63)
ρ = 6.78 g/cm3
Raw total energy = -47.25 eV per cell

---

3.
First-principles (PBE) data for crystalline TlSnAu3S4 at its relaxed geometry, as listed in OQMD via LeMat-Bulk.

a = 6.235 Å, b = 7.438 Å, c = 10.475 Å
α = 90.00°, β = 101.33°, γ = 90.00°
Atoms (fractional coordinates):
Tl 0.166 0.250 0.385
Tl 0.834 0.750 0.615
Sn 0.080 0.250 0.778
Sn 0.920 0.750 0.222
Au 0.371 0.554 0.099
Au 0.371 0.946 0.099
Au 0.496 0.250 0.640
Au 0.504 0.750 0.360
Au 0.629 0.054 0.901
Au 0.629 0.446 0.901
S 0.067 0.750 0.017
S 0.167 0.750 0.432
S 0.304 0.516 0.751
S 0.304 0.984 0.751
S 0.696 0.016 0.249
S 0.696 0.484 0.249
S 0.833 0.250 0.568
S 0.933 0.250 0.983

Summary:
Symmetry = P2_1/m (11)
ρ = 7.27 g/cm3
Raw total energy = -67.14 eV per cell

---

4.
First-principles (PBE) data for crystalline SrTmTe2AuS at its relaxed geometry, as listed in OQMD via LeMat-Bulk.

a = 7.600 Å, b = 7.600 Å, c = 10.533 Å
α = 90.00°, β = 90.00°, γ = 147.19°
Atoms (fractional coordinates):
Sr 0.228 0.772 0.750
Sr 0.772 0.228 0.250
Tm 0.500 0.500 0.000
Tm 0.500 0.500 0.500
Te 0.147 0.853 0.055
Te 0.147 0.853 0.445
Te 0.853 0.147 0.555
Te 0.853 0.147 0.945
Au 0.020 0.980 0.250
Au 0.980 0.020 0.750
S 0.424 0.576 0.250
S 0.576 0.424 0.750

Summary:
Spin magnetization = 0.0 μB/f.u.
Symmetry = Cmcm (63)
ρ = 7.46 g/cm3
Raw total energy = -54.82 eV per cell

---

5.
First-principles (PBE) data for crystalline SrTmTeAuS2 at its relaxed geometry, as listed in OQMD via LeMat-Bulk.

a = 7.515 Å, b = 7.515 Å, c = 10.934 Å
α = 90.00°, β = 90.00°, γ = 148.83°
Atoms (fractional coordinates):
Sr 0.206 0.794 0.750
Sr 0.794 0.206 0.250
Tm 0.000 0.000 0.000
Tm 0.000 0.000 0.500
Te 0.111 0.889 0.250
Te 0.889 0.111 0.750
Au 0.479 0.521 0.250
Au 0.521 0.479 0.750
S 0.378 0.622 0.064
S 0.378 0.622 0.436
S 0.622 0.378 0.564
S 0.622 0.378 0.936

Summary:
Spin magnetization = 0.0 μB/f.u.
Symmetry = Cmcm (63)
ρ = 6.70 g/cm3
Raw total energy = -58.20 eV per cell

---

6.
First-principles (PBE) data for crystalline SrYTeAuS2 at its relaxed geometry, as listed in OQMD via LeMat-Bulk.

a = 7.557 Å, b = 7.557 Å, c = 11.012 Å
α = 90.00°, β = 90.00°, γ = 148.79°
Atoms (fractional coordinates):
Sr 0.204 0.796 0.750
Sr 0.796 0.204 0.250
Y 0.000 0.000 0.000
Y 0.000 0.000 0.500
Te 0.113 0.887 0.250
Te 0.887 0.113 0.750
Au 0.483 0.517 0.250
Au 0.517 0.483 0.750
S 0.378 0.622 0.069
S 0.378 0.622 0.431
S 0.622 0.378 0.569
S 0.622 0.378 0.931

Summary:
Spin magnetization = 0.0 μB/f.u.
Symmetry = Cmcm (63)
ρ = 5.76 g/cm3
Raw total energy = -62.46 eV per cell

---

7.
First-principles (PBE) data for crystalline SrTmAuS3 at its relaxed geometry, as listed in OQMD via LeMat-Bulk.

a = 6.928 Å, b = 6.928 Å, c = 10.248 Å
α = 90.00°, β = 90.00°, γ = 146.50°
Atoms (fractional coordinates):
Sr 0.250 0.750 0.750
Sr 0.750 0.250 0.250
Tm 0.000 0.000 0.000
Tm 0.000 0.000 0.500
Au 0.461 0.539 0.250
Au 0.539 0.461 0.750
S 0.085 0.915 0.250
S 0.360 0.640 0.048
S 0.360 0.640 0.452
S 0.640 0.360 0.548
S 0.640 0.360 0.952
S 0.915 0.085 0.750

Summary:
Spin magnetization = 0.0 μB/f.u.
Symmetry = Cmcm (63)
ρ = 6.72 g/cm3
Raw total energy = -62.02 eV per cell

---

8.
First-principles (PBE) data for crystalline SrTmAuS3 at its relaxed geometry, as listed in OQMD via LeMat-Bulk.

a = 12.445 Å, b = 4.002 Å, c = 10.950 Å
α = 90.00°, β = 90.00°, γ = 90.00°
Atoms (fractional coordinates):
Sr 0.184 0.250 0.029
Sr 0.316 0.750 0.529
Sr 0.684 0.250 0.471
Sr 0.816 0.750 0.971
Tm 0.011 0.750 0.668
Tm 0.489 0.250 0.168
Tm 0.511 0.750 0.832
Tm 0.989 0.250 0.332
Au 0.201 0.750 0.270
Au 0.299 0.250 0.770
Au 0.701 0.750 0.230
Au 0.799 0.250 0.730
S 0.034 0.750 0.162
S 0.113 0.250 0.543
S 0.189 0.750 0.817
S 0.311 0.250 0.317
S 0.387 0.750 0.043
S 0.466 0.250 0.662
S 0.534 0.750 0.338
S 0.613 0.250 0.957
S 0.689 0.750 0.683
S 0.811 0.250 0.183
S 0.887 0.750 0.457
S 0.966 0.250 0.838

Summary:
Spin magnetization = 0.0 μB/f.u.
Symmetry = Pnma (62)
ρ = 6.69 g/cm3
Raw total energy = -123.15 eV per cell

---

9.
First-principles (PBE) data for crystalline SrTmAuS3 at its relaxed geometry, as listed in OQMD via LeMat-Bulk.

a = 7.756 Å, b = 3.966 Å, c = 9.391 Å
α = 90.00°, β = 105.89°, γ = 90.00°
Atoms (fractional coordinates):
Sr 0.237 0.250 0.274
Sr 0.763 0.750 0.726
Tm 0.315 0.750 0.839
Tm 0.685 0.250 0.161
Au 0.123 0.250 0.588
Au 0.877 0.750 0.412
S 0.073 0.250 0.843
S 0.305 0.750 0.540
S 0.434 0.750 0.137
S 0.566 0.250 0.863
S 0.695 0.250 0.460
S 0.927 0.750 0.157

Summary:
Spin magnetization = 0.0 μB/f.u.
Symmetry = P2_1/m (11)
ρ = 6.57 g/cm3
Raw total energy = -62.19 eV per cell

---

10.
First-principles (PBE) data for crystalline Ta3AuS5 at its relaxed geometry, as listed in OQMD via LeMat-Bulk.

a = 5.660 Å, b = 5.660 Å, c = 7.206 Å
α = 90.00°, β = 90.00°, γ = 120.00°
Atoms (fractional coordinates):
Ta 0.000 0.500 0.000
Ta 0.500 0.000 0.000
Ta 0.500 0.500 0.000
Au 0.000 0.000 0.500
S 0.000 0.000 0.000
S 0.333 0.667 0.259
S 0.333 0.667 0.741
S 0.667 0.333 0.259
S 0.667 0.333 0.741

Summary:
Spin magnetization = 0.0 μB/f.u.
Symmetry = P6/mmm (191)
ρ = 7.48 g/cm3
Raw total energy = -62.35 eV per cell

---

11.
First-principles (PBE) data for crystalline TaAuS3 at its relaxed geometry, as listed in OQMD via LeMat-Bulk.

a = 10.049 Å, b = 3.571 Å, c = 12.223 Å
α = 90.00°, β = 90.00°, γ = 90.00°
Atoms (fractional coordinates):
Ta 0.108 0.250 0.127
Ta 0.392 0.750 0.627
Ta 0.608 0.250 0.373
Ta 0.892 0.750 0.873
Au 0.237 0.750 0.286
Au 0.263 0.250 0.786
Au 0.737 0.750 0.214
Au 0.763 0.250 0.714
S 0.062 0.250 0.312
S 0.071 0.250 0.908
S 0.232 0.250 0.583
S 0.268 0.750 0.083
S 0.429 0.750 0.408
S 0.438 0.750 0.812
S 0.562 0.250 0.188
S 0.571 0.250 0.592
S 0.732 0.250 0.917
S 0.768 0.750 0.417
S 0.929 0.750 0.092
S 0.938 0.750 0.688

Summary:
Spin magnetization = 0.0 μB/f.u.
Symmetry = Pnma (62)
ρ = 7.18 g/cm3
Raw total energy = -121.44 eV per cell

---

12.
First-principles (PBE) data for crystalline TaTlTeAuS2 at its relaxed geometry, as listed in OQMD via LeMat-Bulk.

a = 8.475 Å, b = 8.475 Å, c = 10.397 Å
α = 90.00°, β = 90.00°, γ = 156.19°
Atoms (fractional coordinates):
Ta 0.000 0.000 0.000
Ta 0.000 0.000 0.500
Tl 0.233 0.767 0.750
Tl 0.767 0.233 0.250
Te 0.084 0.916 0.250
Te 0.916 0.084 0.750
Au 0.440 0.560 0.250
Au 0.560 0.440 0.750
S 0.394 0.606 0.032
S 0.394 0.606 0.468
S 0.606 0.394 0.532
S 0.606 0.394 0.968

Summary:
Spin magnetization = 0.0 μB/f.u.
Symmetry = Cmcm (63)
ρ = 8.53 g/cm3
Raw total energy = -61.93 eV per cell

---

13.
First-principles (PBE) data for crystalline TaTlAuS3 at its relaxed geometry, as listed in OQMD via LeMat-Bulk.

a = 8.405 Å, b = 8.405 Å, c = 9.648 Å
α = 90.00°, β = 90.00°, γ = 156.07°
Atoms (fractional coordinates):
Ta 0.000 0.000 0.000
Ta 0.000 0.000 0.500
Tl 0.311 0.689 0.750
Tl 0.689 0.311 0.250
Au 0.337 0.663 0.250
Au 0.663 0.337 0.750
S 0.031 0.969 0.250
S 0.393 0.607 0.024
S 0.393 0.607 0.476
S 0.607 0.393 0.524
S 0.607 0.393 0.976
S 0.969 0.031 0.750

Summary:
Spin magnetization = 0.0 μB/f.u.
Symmetry = Cmcm (63)
ρ = 8.15 g/cm3
Raw total energy = -65.64 eV per cell

---

14.
First-principles (PBE) data for crystalline TaTlAu2S4 at its relaxed geometry, as listed in OQMD via LeMat-Bulk.

a = 7.863 Å, b = 9.971 Å, c = 9.971 Å
α = 145.61°, β = 90.00°, γ = 90.00°
Atoms (fractional coordinates):
Ta 0.250 0.115 0.885
Ta 0.750 0.885 0.115
Tl 0.250 0.661 0.039
Tl 0.750 0.039 0.661
Au 0.000 0.041 0.041
Au 0.250 0.632 0.368
Au 0.500 0.041 0.041
Au 0.750 0.368 0.632
S 0.004 0.342 0.107
S 0.250 0.025 0.585
S 0.250 0.778 0.744
S 0.496 0.342 0.107
S 0.504 0.107 0.342
S 0.750 0.585 0.025
S 0.750 0.744 0.778
S 0.996 0.107 0.342

Summary:
Spin magnetization = 0.0 μB/f.u.
Symmetry = Ama2 (40)
ρ = 6.83 g/cm3
Raw total energy = -82.00 eV per cell

---

15.
First-principles (PBE) data for crystalline TlTcTeAuS2 at its relaxed geometry, as listed in OQMD via LeMat-Bulk.

a = 8.394 Å, b = 8.394 Å, c = 10.390 Å
α = 90.00°, β = 90.00°, γ = 157.08°
Atoms (fractional coordinates):
Tl 0.210 0.790 0.750
Tl 0.790 0.210 0.250
Tc 0.500 0.500 0.000
Tc 0.500 0.500 0.500
Te 0.459 0.541 0.250
Te 0.541 0.459 0.750
Au 0.137 0.863 0.250
Au 0.863 0.137 0.750
S 0.107 0.893 0.025
S 0.107 0.893 0.475
S 0.893 0.107 0.525
S 0.893 0.107 0.975

Summary:
Spin magnetization = 0.6 μB/f.u.
Symmetry = Cmcm (63)
ρ = 8.05 g/cm3
Raw total energy = -56.10 eV per cell

---

16.
First-principles (PBE) data for crystalline TeAuS2 at its relaxed geometry, as listed in OQMD via LeMat-Bulk.

a = 7.349 Å, b = 7.349 Å, c = 7.349 Å
α = 35.00°, β = 35.00°, γ = 35.00°
Atoms (fractional coordinates):
Te 0.000 0.000 0.000
Au 0.500 0.500 0.500
S 0.389 0.389 0.389
S 0.611 0.611 0.611

Summary:
Symmetry = R-3m (166)
ρ = 5.54 g/cm3
Raw total energy = -14.08 eV per cell

---

17.
First-principles (PBE) data for crystalline TeAuS4 at its relaxed geometry, as listed in OQMD via LeMat-Bulk.

a = 7.126 Å, b = 7.126 Å, c = 7.126 Å
α = 38.48°, β = 38.48°, γ = 38.48°
Atoms (fractional coordinates):
Te 0.000 0.000 0.000
Au 0.500 0.500 0.500
S 0.166 0.166 0.166
S 0.379 0.379 0.379
S 0.621 0.621 0.621
S 0.834 0.834 0.834

Summary:
Symmetry = R-3m (166)
ρ = 5.97 g/cm3
Raw total energy = -20.21 eV per cell

---

18.
First-principles (PBE) data for crystalline TlTeWAuS2 at its relaxed geometry, as listed in OQMD via LeMat-Bulk.

a = 8.659 Å, b = 8.659 Å, c = 10.520 Å
α = 90.00°, β = 90.00°, γ = 157.46°
Atoms (fractional coordinates):
Tl 0.220 0.780 0.750
Tl 0.780 0.220 0.250
Te 0.449 0.551 0.250
Te 0.551 0.449 0.750
W 0.500 0.500 0.000
W 0.500 0.500 0.500
Au 0.130 0.870 0.250
Au 0.870 0.130 0.750
S 0.102 0.898 0.028
S 0.102 0.898 0.472
S 0.898 0.102 0.528
S 0.898 0.102 0.972

Summary:
Spin magnetization = 0.9 μB/f.u.
Symmetry = Cmcm (63)
ρ = 8.53 g/cm3
Raw total energy = -60.94 eV per cell

---

19.
First-principles (PBE) data for crystalline ZrTlTeAuS2 at its relaxed geometry, as listed in OQMD via LeMat-Bulk.

a = 8.072 Å, b = 8.072 Å, c = 10.655 Å
α = 90.00°, β = 90.00°, γ = 152.53°
Atoms (fractional coordinates):
Zr 0.000 0.000 0.000
Zr 0.000 0.000 0.500
Tl 0.217 0.783 0.750
Tl 0.783 0.217 0.250
Te 0.092 0.908 0.250
Te 0.908 0.092 0.750
Au 0.460 0.540 0.250
Au 0.540 0.460 0.750
S 0.390 0.610 0.044
S 0.390 0.610 0.456
S 0.610 0.390 0.544
S 0.610 0.390 0.956

Summary:
Spin magnetization = 0.0 μB/f.u.
Symmetry = Cmcm (63)
ρ = 7.10 g/cm3
Raw total energy = -59.83 eV per cell

---

20.
First-principles (PBE) data for crystalline TlWAuS3 at its relaxed geometry, as listed in OQMD via LeMat-Bulk.

a = 8.621 Å, b = 8.621 Å, c = 9.312 Å
α = 90.00°, β = 90.00°, γ = 157.57°
Atoms (fractional coordinates):
Tl 0.183 0.817 0.750
Tl 0.817 0.183 0.250
W 0.500 0.500 0.000
W 0.500 0.500 0.500
Au 0.176 0.824 0.250
Au 0.824 0.176 0.750
S 0.103 0.897 0.028
S 0.103 0.897 0.472
S 0.472 0.528 0.250
S 0.528 0.472 0.750
S 0.897 0.103 0.528
S 0.897 0.103 0.972

Summary:
Spin magnetization = 0.0 μB/f.u.
Symmetry = Cmcm (63)
ρ = 8.57 g/cm3
Raw total energy = -64.51 eV per cell